The following is a SCAN calculation of Fe4OF6 at its PBEsol-relaxed geometry, from the Alexandria database.

Calculated values
Formation energy from raw total energies (eV per atom): -2.035
Calculated density (Mg/m³): 4.909
D(E_F) (states/eV per atom): 0.620

Cell and atoms, written as extended XYZ:
```
22
Lattice="-3.1019 -2.9331 2.4223 -3.4371 -1.2702 -5.9394 4.1761 -5.4496 -1.2512" Properties=species:S:1:pos:R:3 pbc="T T T"
O 0.0000 0.0000 0.0000
Fe 2.5864 -4.5880 -0.5155
Fe -2.5852 -5.6557 -3.4578
O -1.1814 -4.8265 -2.3841
F 0.5230 -4.7557 -5.0889
Fe -5.1352 -3.3741 -2.4435
F -0.7449 -5.4037 1.5867
F 1.9508 -4.2280 -2.6215
Fe -0.8555 -5.0164 -0.4688
F 1.0438 -6.0481 -1.0138
F -1.3974 -2.8623 -0.2824
Fe -1.6933 -2.9457 -2.4901
F -3.5384 -2.3559 -1.5486
F -1.9874 -0.8894 -2.7597
F 0.8060 -3.9371 0.3756
Fe -3.4278 -2.7431 0.5070
F -1.2118 -2.4918 -4.5691
Fe 0.4082 -5.6882 -3.1198
Fe 0.5119 -1.8808 0.1060
F -3.4067 -3.6049 -3.7545
F 0.2160 -1.9641 -2.1017
F -0.9654 -6.7906 -4.4859
```

=====

The following is a SCAN calculation of Fe4O5F3 at its PBEsol-relaxed geometry, from the Alexandria database.

Calculated values
Relative energy among the computed polymorphs (eV per atom): 0.078
Formation energy from raw total energies (eV per atom): -1.767
Calculated density (Mg/m³): 5.165
D(E_F) (states/eV per atom): 0.277

Cell and atoms, written as extended XYZ:
```
12
Lattice="5.3488 -0.0686 0.0033 -2.3440 4.8083 -0.0033 1.8701 2.1368 4.5334" Properties=species:S:1:pos:R:3 pbc="T T T"
O 0.1502 4.8578 0.2326
O 1.4482 5.7265 2.4618
Fe 1.5917 4.1230 3.3526
F 1.5685 2.3279 4.2087
F -0.0378 3.3463 2.4795
O -1.2415 5.7400 2.0449
O 4.0242 2.4628 0.2360
O 2.6325 3.3451 2.0483
Fe 2.6463 1.6447 1.2314
Fe 2.9597 6.2808 3.3526
Fe -1.3159 4.1565 1.1035
F 3.2841 4.5626 4.4383
```

=====

The following is a SCAN calculation of Fe4O5F3 at its PBEsol-relaxed geometry, from the Alexandria database.

Calculated values
Relative energy among the computed polymorphs (eV per atom): 0.000
Formation energy from raw total energies (eV per atom): -1.845
Calculated density (Mg/m³): 5.028
D(E_F) (states/eV per atom): 0.175

Cell and atoms, written as extended XYZ:
```
12
Lattice="0.0190 3.6763 -2.7112 -4.0948 -1.5828 -1.2622 -2.4764 3.0848 4.1654" Properties=species:S:1:pos:R:3 pbc="T T T"
F -0.7569 2.6843 -2.4379
O -4.5144 1.0061 0.5321
O -3.0954 2.9399 1.9195
Fe -3.4007 2.4299 0.1398
Fe -4.7135 -0.7020 -0.1636
Fe -2.0020 1.0927 -1.9994
O -1.8602 1.4012 -0.1583
F -2.0883 4.1076 -0.3224
O -4.7016 3.7649 0.3536
F -3.2477 -0.4998 -1.5606
Fe -5.8653 0.7328 1.7738
O -3.4663 2.2262 -1.7242
```

=====

The following is a SCAN calculation of Fe6OF11 at its PBEsol-relaxed geometry, from the Alexandria database.

Calculated values
Relative energy among the computed polymorphs (eV per atom): 0.000
Formation energy from raw total energies (eV per atom): -2.173
Calculated density (Mg/m³): 4.544
D(E_F) (states/eV per atom): 0.900

Cell and atoms, written as extended XYZ:
```
18
Lattice="-3.3960 -4.1372 -1.7717 2.6709 -4.7943 1.2922 -3.2660 -3.1367 5.7944" Properties=species:S:1:pos:R:3 pbc="T T T"
F -2.5579 -7.2236 3.5157
Fe -0.8220 -3.5256 0.8715
F -4.8073 -7.5727 4.8758
Fe -1.6169 -6.7675 1.7502
F -4.3264 -4.8902 2.8523
Fe -2.3674 -5.1629 3.5805
F -0.6532 -6.9446 -0.1960
F -1.6319 -8.8721 1.3286
F -3.2879 -6.7019 0.6636
F 0.2279 -7.0827 2.4392
F -0.6062 -5.2931 4.7310
O -1.5041 -4.8732 1.9332
Fe -3.2324 -8.6490 4.5456
F -3.3116 -5.1893 5.4446
F -2.4000 -7.8334 6.0915
Fe -3.2603 -3.1610 5.7779
F -2.3383 -3.0712 3.9716
Fe -1.5985 -1.5722 2.8282
```

=====

The following is a SCAN calculation of Fe2OF at its PBEsol-relaxed geometry, from the Alexandria database.

Calculated values
Formation energy from raw total energies (eV per atom): -0.983
Calculated density (Mg/m³): 6.449
D(E_F) (states/eV per atom): 0.381

Cell and atoms, written as extended XYZ:
```
4
Lattice="3.7660 0.0000 0.0000 1.8830 3.2615 0.0000 1.8830 1.0872 3.0750" Properties=species:S:1:pos:R:3 pbc="T T T"
Fe 5.6491 3.2615 2.3062
Fe 1.8830 1.0872 0.7687
F 3.7660 2.1743 1.5375
O 0.0000 0.0000 0.0000
```

=====

The following is a SCAN calculation of FePO2F at its PBEsol-relaxed geometry, from the Alexandria database.

Calculated values
Formation energy from raw total energies (eV per atom): -0.551
Calculated density (Mg/m³): 4.347
D(E_F) (states/eV per atom): 0.579

Cell and atoms, written as extended XYZ:
```
5
Lattice="3.8121 0.0000 0.0000 0.0000 3.7163 0.0000 0.0000 0.0000 3.7163" Properties=species:S:1:pos:R:3 pbc="T T T"
F 1.9060 0.0000 0.0000
Fe 0.0000 0.0000 0.0000
P 1.9060 1.8582 1.8582
O 0.0000 0.0000 1.8582
O 0.0000 1.8582 0.0000
```

=====

The following is a SCAN calculation of Fe2SbOF at its PBEsol-relaxed geometry, from the Alexandria database.

Calculated values
Formation energy from raw total energies (eV per atom): -0.548
Calculated density (Mg/m³): 6.839
D(E_F) (states/eV per atom): 0.767

Cell and atoms, written as extended XYZ:
```
5
Lattice="3.6324 0.0000 0.0000 0.0000 3.6324 0.0000 0.0000 0.0000 4.9402" Properties=species:S:1:pos:R:3 pbc="T T T"
Fe 1.8162 0.0000 0.0000
F 0.0000 0.0000 2.4701
Fe 0.0000 1.8162 0.0000
O 0.0000 0.0000 0.0000
Sb 1.8162 1.8162 2.4701
```

=====

The following is a SCAN calculation of Sr2Fe2Se2OF2 at its PBEsol-relaxed geometry, from the Alexandria database.

Calculated values
Formation energy from raw total energies (eV per atom): -2.298
Calculated density (Mg/m³): 5.536
D(E_F) (states/eV per atom): 0.265

Cell and atoms, written as extended XYZ:
```
9
Lattice="-1.8828 3.2594 1.4000 -1.1269 -2.0525 3.2629 9.2750 2.0228 2.0042" Properties=species:S:1:pos:R:3 pbc="T T T"
F 3.3216 0.2869 3.7992
Sr 5.0757 1.7156 2.8322
F 2.9437 2.9428 2.8678
Se 4.7914 2.7316 5.8447
Fe -0.9414 1.6297 0.7000
O -1.5049 0.6035 2.3314
Fe -0.5635 -1.0262 1.6314
Se 1.4739 0.4982 0.8224
Sr 1.1896 1.5142 3.8349
```

=====

The following is a SCAN calculation of Fe2PF at its PBEsol-relaxed geometry, from the Alexandria database.

Calculated values
Formation energy from raw total energies (eV per atom): -0.350
Calculated density (Mg/m³): 6.570
D(E_F) (states/eV per atom): 1.034

Cell and atoms, written as extended XYZ:
```
4
Lattice="3.8660 0.0000 0.0000 1.9330 3.3480 0.0000 1.9330 1.1160 3.1566" Properties=species:S:1:pos:R:3 pbc="T T T"
Fe 5.7990 3.3480 2.3674
F 0.0000 0.0000 0.0000
Fe 1.9330 1.1160 0.7891
P 3.8660 2.2320 1.5783
```

=====

The following is a SCAN calculation of FePS2F at its PBEsol-relaxed geometry, from the Alexandria database.

Calculated values
Formation energy from raw total energies (eV per atom): 0.791
Calculated density (Mg/m³): 3.508
D(E_F) (states/eV per atom): 0.442

Cell and atoms, written as extended XYZ:
```
5
Lattice="3.6261 0.0000 0.0000 0.0000 4.7100 0.0000 0.0000 0.0000 4.7100" Properties=species:S:1:pos:R:3 pbc="T T T"
F 0.0000 0.0000 0.0000
Fe 1.8131 2.3550 2.3550
S 0.0000 2.3550 0.0000
P 1.8131 0.0000 0.0000
S 0.0000 0.0000 2.3550
```

=====

The following is a SCAN calculation of Fe3PbF at its PBEsol-relaxed geometry, from the Alexandria database.

Calculated values
Formation energy from raw total energies (eV per atom): 0.107
Calculated density (Mg/m³): 9.206
D(E_F) (states/eV per atom): 0.681

Cell and atoms, written as extended XYZ:
```
5
Lattice="-1.6075 -2.6212 2.7741 1.8936 -3.1612 -1.8897 3.3136 0.5350 2.4257" Properties=species:S:1:pos:R:3 pbc="T T T"
Pb 1.7999 -2.6237 1.6550
Fe 1.6568 0.2675 1.2128
Fe -0.8038 -1.3106 1.3870
Fe 0.9468 -1.5806 -0.9448
F 0.0000 0.0000 0.0000
```

=====

The following is a SCAN calculation of FePbF3 at its PBEsol-relaxed geometry, from the Alexandria database.

Calculated values
Formation energy from raw total energies (eV per atom): -1.132
Calculated density (Mg/m³): 5.189
D(E_F) (states/eV per atom): 1.776

Cell and atoms, written as extended XYZ:
```
5
Lattice="-1.2046 -4.5197 -0.1026 1.2403 -0.2283 -4.5054 4.3474 -1.1872 1.2569" Properties=species:S:1:pos:R:3 pbc="T T T"
F 2.1737 -0.5936 0.6285
Fe 2.1915 -2.9676 -1.6755
F -0.6023 -2.2598 -0.0513
Pb 0.0000 0.0000 0.0000
F 0.6201 -0.1141 -2.2527
```

=====

The following is a SCAN calculation of ScFe2PbF at its PBEsol-relaxed geometry, from the Alexandria database.

Calculated values
Formation energy from raw total energies (eV per atom): -0.077
Calculated density (Mg/m³): 7.013
D(E_F) (states/eV per atom): 0.711

Cell and atoms, written as extended XYZ:
```
5
Lattice="3.9023 0.0000 0.0000 0.0000 4.8198 0.0000 0.0000 0.0000 4.8198" Properties=species:S:1:pos:R:3 pbc="T T T"
Pb 1.9512 2.4099 2.4099
Sc 0.0000 0.0000 0.0000
F 1.9512 0.0000 0.0000
Fe 0.0000 0.0000 2.4099
Fe 0.0000 2.4099 0.0000
```

=====

The following is a SCAN calculation of FePt3F at its PBEsol-relaxed geometry, from the Alexandria database.

Calculated values
Formation energy from raw total energies (eV per atom): 0.910
Calculated density (Mg/m³): 14.162
D(E_F) (states/eV per atom): 0.860

Cell and atoms, written as extended XYZ:
```
5
Lattice="4.2617 0.0000 0.0000 0.0000 4.2617 0.0000 0.0000 0.0000 4.2617" Properties=species:S:1:pos:R:3 pbc="T T T"
Pt 2.1308 0.0000 0.0000
Pt 0.0000 2.1308 0.0000
Pt 0.0000 0.0000 2.1308
F 0.0000 0.0000 0.0000
Fe 2.1308 2.1308 2.1308
```

=====

The following is a SCAN calculation of FeTc2PtF at its PBEsol-relaxed geometry, from the Alexandria database.

Calculated values
Formation energy from raw total energies (eV per atom): 1.188
Calculated density (Mg/m³): 9.112
D(E_F) (states/eV per atom): 0.684

Cell and atoms, written as extended XYZ:
```
5
Lattice="4.5193 0.0000 0.0000 0.0000 4.3346 0.0000 0.0000 0.0000 4.3346" Properties=species:S:1:pos:R:3 pbc="T T T"
Fe 0.0000 0.0000 0.0000
F 2.2597 2.1673 2.1673
Pt 2.2597 0.0000 0.0000
Tc 0.0000 0.0000 2.1673
Tc 0.0000 2.1673 0.0000
```

=====

The following is a SCAN calculation of RbFe2F6 at its PBEsol-relaxed geometry, from the Alexandria database.

Calculated values
Formation energy from raw total energies (eV per atom): -2.657
Calculated density (Mg/m³): 3.974
D(E_F) (states/eV per atom): 0.544

Cell and atoms, written as extended XYZ:
```
36
Lattice="7.0166 0.0000 0.0000 0.0000 7.3915 0.0000 0.0000 0.0000 10.0286" Properties=species:S:1:pos:R:3 pbc="T T T"
F 1.7411 0.5410 9.2489
Rb 6.9821 5.5436 6.2608
F 6.5132 1.8479 0.4988
F 1.7672 6.8505 4.2346
F 0.8826 3.8624 1.7640
Rb 3.5428 1.8479 1.2464
F 5.2494 0.5410 5.7941
F 2.6257 0.1667 6.7784
Fe 4.8772 5.5436 2.2704
F 0.8826 7.2249 1.7640
F 3.0049 1.8479 4.5155
F 4.3909 3.8624 3.2503
F 6.1340 0.1667 8.2646
Fe 2.1394 1.8479 7.7582
F 5.2755 4.2368 0.7797
Rb 0.0345 1.8479 3.7679
F 1.7411 3.1547 9.2489
Fe 0.0000 3.6958 0.0000
F 2.9884 5.5436 1.6344
F 4.0117 5.5436 5.5131
Rb 3.4738 5.5436 8.7822
F 0.5199 1.8479 6.6487
Fe 3.5083 3.6958 5.0143
Fe 1.3689 5.5436 2.7439
F 5.2755 6.8505 0.7797
F 6.4967 5.5436 3.3799
F 2.6257 3.5291 6.7784
F 4.0282 1.8479 8.3942
F 4.3909 7.2249 3.2503
F 1.7672 4.2368 4.2346
F 6.1340 3.5291 8.2646
F 0.5034 5.5436 9.5299
Fe 3.5083 0.0000 5.0143
Fe 0.0000 0.0000 0.0000
F 5.2494 3.1547 5.7941
Fe 5.6477 1.8479 7.2848
```

=====

The following is a SCAN calculation of RbFeF3 at its PBEsol-relaxed geometry, from the Alexandria database.

Calculated values
Formation energy from raw total energies (eV per atom): -2.640
Calculated density (Mg/m³): 4.685

Cell and atoms, written as extended XYZ:
```
10
Lattice="-0.3667 3.1486 -4.8986 -0.3292 -5.8227 -0.2430 -5.0726 -2.5832 -1.2806" Properties=species:S:1:pos:R:3 pbc="T T T"
Fe -2.5363 -1.2916 -0.6403
F -1.5244 -2.7700 -1.6663
Rb -1.7078 -1.1957 -4.1156
F -1.3590 0.1423 -1.5454
F -4.2441 -2.4873 -4.7559
F -3.8952 -1.1503 -2.1841
Rb -4.0607 -4.0616 -2.3066
F -4.0803 0.4231 -4.6338
F -1.5441 1.7157 -3.9951
Fe -0.1833 1.5743 -2.4493
```

=====

The following is a SCAN calculation of Rb2FeF4 at its PBEsol-relaxed geometry, from the Alexandria database.

Calculated values
Formation energy from raw total energies (eV per atom): -2.721
Calculated density (Mg/m³): 4.306

Cell and atoms, written as extended XYZ:
```
7
Lattice="4.1332 0.0519 0.0000 -0.0524 4.1332 0.0001 -2.0404 -2.0931 6.8341" Properties=species:S:1:pos:R:3 pbc="T T T"
F 2.0666 0.0259 0.0000
Rb 2.0404 2.0924 1.9920
F 0.0001 -0.0001 2.0541
F -0.0262 2.0666 0.0000
Fe 0.0000 0.0000 0.0000
Rb 0.0000 -0.0004 4.8422
F 2.0404 2.0921 4.7801
```

=====

The following is a SCAN calculation of Rb2TlFeF6 at its PBEsol-relaxed geometry, from the Alexandria database.

Calculated values
Formation energy from raw total energies (eV per atom): -2.487
Calculated density (Mg/m³): 5.245
D(E_F) (states/eV per atom): 1.091

Cell and atoms, written as extended XYZ:
```
10
Lattice="-3.8204 -0.2116 -4.9414 2.3729 -0.1877 -5.7786 -0.4379 -5.2324 -3.3894" Properties=species:S:1:pos:R:3 pbc="T T T"
Fe -0.9427 -2.8159 -7.0547
F 0.4559 -1.7072 -6.5164
F -2.3414 -3.9245 -7.5930
Rb -1.4141 -4.2238 -10.5821
Rb -0.4714 -1.4079 -3.5274
F 0.2711 -3.9144 -7.9462
F -2.1566 -1.7173 -6.1633
F -1.1557 -1.7965 -8.6008
F -0.7298 -3.8352 -5.5086
Tl 0.0000 0.0000 0.0000
```

=====

The following is a SCAN calculation of ZrFeRe2F at its PBEsol-relaxed geometry, from the Alexandria database.

Calculated values
Formation energy from raw total energies (eV per atom): 0.984
Calculated density (Mg/m³): 9.789
D(E_F) (states/eV per atom): 0.800

Cell and atoms, written as extended XYZ:
```
5
Lattice="4.2985 0.0000 0.0000 0.0000 4.2985 0.0000 0.0000 0.0000 4.9436" Properties=species:S:1:pos:R:3 pbc="T T T"
Fe 0.0000 0.0000 0.0000
Re 0.0000 2.1492 0.0000
Zr 0.0000 0.0000 2.4718
Re 2.1492 0.0000 0.0000
F 2.1492 2.1492 2.4718
```